[1]
The following is a PBE calculation of an optimized crystal structure of TbYNi8B2, from OQMD.

Symmetry ... P6/mmm

a = 4.996 Å, b = 4.996 Å, c = 6.965 Å
α = 90.00°, β = 90.00°, γ = 119.98°
Fractional positions:
Ni: 0.500 0.500 0.792
Ni: 0.667 0.333 0.500
B: 0.333 0.667 0.000
B: 0.667 0.333 0.000
Ni: 0.000 0.500 0.792
Ni: 0.500 0.000 0.792
Ni: 0.500 0.500 0.208
Ni: 0.000 0.500 0.208
Ni: 0.333 0.667 0.500
Tb: 0.000 0.000 0.000
Ni: 0.500 0.000 0.208
Y: 0.000 0.000 0.500


[2]
The following is a PBE calculation of an optimized crystal structure of Tc2NiB, from OQMD.

Symmetry ... F-43m

a = 4.079 Å, b = 4.079 Å, c = 4.079 Å
α = 60.00°, β = 60.00°, γ = 60.00°
Last column: magnetic moment on the atom in μB.
Fractional positions:
B: 0.500 0.500 0.500  0.00
Tc: 0.750 0.750 0.750  -0.03
Ni: 0.250 0.250 0.250  0.31
Tc: 0.000 0.000 0.000  0.38


[3]
The following is a PBE calculation of an optimized crystal structure of TcNiBW, from OQMD.

Distance to the lowest polymorph of the same formula ... 236 meV/atom
Symmetry ... F-43m

a = 4.127 Å, b = 4.127 Å, c = 4.127 Å
α = 60.00°, β = 60.00°, γ = 60.00°
Fractional positions:
Ni: 0.750 0.750 0.750
Tc: 0.250 0.250 0.250
B: 0.000 0.000 0.000
W: 0.500 0.500 0.500


Summary of E_tot in eV per cell
-74.82, -31.12, -33.57
(order as listed above)